# Tb3MgSc3S8 (PBE-GGA, optimized geometry)
# Calculated total energy = -288.62 eV/cell
# Formation energy (no corrections) = -28.71 eV per formula unit
# M_tot = 0.0000 μB/atom
data_Tb3MgSc3S8
_space_group_name_H-M_alt 'R -3 m'
_space_group_IT_number 166
_space_group_name_Hall '-R 3 2"'
_cell_length_a 7.5572
_cell_length_b 7.5572
_cell_length_c 18.7565
_cell_angle_alpha 90.00
_cell_angle_beta 90.00
_cell_angle_gamma 120.00
loop_
_atom_site_label
_atom_site_type_symbol
_atom_site_fract_x
_atom_site_fract_y
_atom_site_fract_z
Tb1 Tb 0.0000 0.5000 0.0000
Mg1 Mg 0.0000 0.0000 0.5000
Sc1 Sc 0.0000 0.5000 0.5000
S1 S 0.0000 0.0000 0.2442
S2 S 0.0000 0.5000 0.2443

=====

# Mg2ScTiS (PBE-GGA, optimized geometry)
# Calculated total energy = -16.02 eV/cell
# Formation energy (no corrections) = 5.52 eV per formula unit
# M_tot = 0.0000 μB/atom
data_Mg2ScTiS
_space_group_name_H-M_alt 'P 4/m m m'
_space_group_IT_number 123
_space_group_name_Hall '-P 4 2'
_cell_length_a 5.4522
_cell_length_b 5.4522
_cell_length_c 4.5244
_cell_angle_alpha 90.00
_cell_angle_beta 90.00
_cell_angle_gamma 90.00
loop_
_atom_site_label
_atom_site_type_symbol
_atom_site_fract_x
_atom_site_fract_y
_atom_site_fract_z
Mg1 Mg 0.0000 0.5000 0.0000
Sc1 Sc 0.0000 0.0000 0.0000
Ti1 Ti 0.0000 0.0000 0.5000
S1 S 0.5000 0.5000 0.5000

=====

# Mg2ScTi3S8 (PBE-GGA, optimized geometry)
# Calculated total energy = -259.04 eV/cell
# Formation energy (no corrections) = -20.12 eV per formula unit
# M_tot = 0.2018 μB/atom
data_Mg2ScTi3S8
_space_group_name_H-M_alt 'R -3 m'
_space_group_IT_number 166
_space_group_name_Hall '-R 3 2"'
_cell_length_a 7.3209
_cell_length_b 7.3209
_cell_length_c 18.3960
_cell_angle_alpha 90.00
_cell_angle_beta 90.00
_cell_angle_gamma 120.00
loop_
_atom_site_label
_atom_site_type_symbol
_atom_site_fract_x
_atom_site_fract_y
_atom_site_fract_z
Mg1 Mg 0.0000 0.0000 0.1268
Sc1 Sc 0.0000 0.0000 0.5000
Ti1 Ti 0.0000 0.5000 0.0000
S1 S 0.0000 0.0000 0.2595
S2 S 0.0204 0.5102 0.2561

=====

# MgScTiS4 (PBE-GGA, optimized geometry)
# Calculated total energy = -172.63 eV/cell
# Formation energy (no corrections) = -10.83 eV per formula unit
# M_tot = 0.1387 μB/atom
data_MgScTiS4
_space_group_name_H-M_alt 'I m m a'
_space_group_IT_number 74
_space_group_name_Hall '-I 2b 2'
_cell_length_a 7.3303
_cell_length_b 7.5375
_cell_length_c 10.5530
_cell_angle_alpha 90.00
_cell_angle_beta 90.00
_cell_angle_gamma 90.00
loop_
_atom_site_label
_atom_site_type_symbol
_atom_site_fract_x
_atom_site_fract_y
_atom_site_fract_z
Mg1 Mg 0.0000 0.2500 0.1272
Sc1 Sc 0.0000 0.0000 0.5000
Ti1 Ti 0.2500 0.2500 0.7500
S1 S 0.0000 0.0219 0.7453
S2 S 0.2384 0.2500 0.5137